DyHo6Tl4: relaxed, PBE.

Computed properties:
The calculation puts the total energy at -0.139 hartree per atom. Its space group is I-42m. The value obtained for the total magnetic moment is 0.3 μB per formula unit.

a b c (Å): 8.0363 8.0363 8.0363
angles (deg): 122.63 122.63 85.51
Closest atoms and distances in Å follow each position.
Sites, in units of the cell vectors:
Dy 0.0000 0.0000 0.0000  4 Tl 3.61, 8 Ho 3.86-4.00
Ho 0.0000 0.5000 0.5000  4 Tl 2.97
Ho 0.1062 0.4784 0.0000  3 Tl 2.96-3.23
Ho 0.4784 0.1062 0.0000  3 Tl 2.96-3.23
Ho 0.5000 0.0000 0.5000  4 Tl 2.97
Ho 0.5216 0.5216 0.6278  3 Tl 2.96-3.23
Ho 0.8938 0.8938 0.3722  3 Tl 2.96-3.23
Tl 0.2464 0.2464 0.6418  5 Ho 2.96-3.23, 2 Tl 3.28
Tl 0.3953 0.7536 0.0000  5 Ho 2.96-3.23, 2 Tl 3.28
Tl 0.6047 0.6047 0.3582  5 Ho 2.96-3.23, 2 Tl 3.28
Tl 0.7536 0.3953 0.0000  5 Ho 2.96-3.23, 2 Tl 3.28


Dy4Ho7Tl: relaxed, PBE.

Computed properties:
The calculation puts the total energy at -0.163 hartree per atom. Its space group is P-3m1. The value obtained for the total magnetic moment is 0.0 μB per formula unit.

a b c (Å): 3.5364 3.5364 33.9944
angles (deg): 90.00 90.00 120.00
Closest atoms and distances in Å follow each position.
Sites, in units of the cell vectors:
Dy 0.3333 0.6667 0.1618  6 Ho 3.51-3.53, 6 Dy 3.54
Dy 0.3333 0.6667 0.4154  6 Ho 3.52-3.53, 6 Dy 3.54
Dy 0.6667 0.3333 0.5846  6 Ho 3.52-3.53, 6 Dy 3.54
Dy 0.6667 0.3333 0.8382  6 Ho 3.51-3.53, 6 Dy 3.54
Ho 0.0000 0.0000 0.2465  9 Ho 3.52-3.54, 3 Dy 3.53
Ho 0.0000 0.0000 0.5000  6 Dy 3.53, 6 Ho 3.54
Ho 0.0000 0.0000 0.7535  9 Ho 3.52-3.54, 3 Dy 3.53
Ho 0.3333 0.6667 0.6691  9 Ho 3.52-3.54, 3 Dy 3.52
Ho 0.3333 0.6667 0.9222  3 Tl 3.34, 3 Dy 3.51, 6 Ho 3.54
Ho 0.6667 0.3333 0.0778  3 Tl 3.34, 3 Dy 3.51, 6 Ho 3.54
Ho 0.6667 0.3333 0.3309  9 Ho 3.52-3.54, 3 Dy 3.52
Tl 0.0000 0.0000 0.0000  6 Ho 3.34, 6 Tl 3.54


Dy2Ho2Tl5: relaxed, PBE.

Computed properties:
The calculation puts the total energy at -0.130 hartree per atom. Its space group is Cmce. The value obtained for the total magnetic moment is 0.0 μB per formula unit.

a b c (Å): 8.9706 8.9706 8.1449
angles (deg): 90.00 90.00 53.24
Closest atoms and distances in Å follow each position.
Sites, in units of the cell vectors:
Dy 0.1993 0.1993 0.0000  7 Tl 3.13-3.28
Dy 0.3007 0.3007 0.5000  7 Tl 3.13-3.28
Dy 0.6993 0.6993 0.5000  7 Tl 3.13-3.28
Dy 0.8007 0.8007 0.0000  7 Tl 3.13-3.28
Ho 0.1526 0.8474 0.6560  8 Tl 3.06-3.29
Ho 0.3474 0.6526 0.1560  8 Tl 3.06-3.29
Ho 0.6526 0.3474 0.8440  8 Tl 3.06-3.29
Ho 0.8474 0.1526 0.3440  8 Tl 3.06-3.29
Tl 0.0000 0.0000 0.0000  4 Ho 3.06-3.07, 2 Dy 3.20
Tl 0.0122 0.7156 0.3536  3 Dy 3.13-3.28, 3 Ho 3.15-3.29, 1 Tl 3.37
Tl 0.2156 0.5122 0.8536  3 Dy 3.13-3.28, 3 Ho 3.15-3.29, 1 Tl 3.37
Tl 0.2844 0.9878 0.3536  3 Dy 3.13-3.28, 3 Ho 3.15-3.29, 1 Tl 3.37
Tl 0.4878 0.7844 0.8536  3 Dy 3.13-3.28, 3 Ho 3.15-3.29, 1 Tl 3.37
Tl 0.5000 0.5000 0.5000  4 Ho 3.06-3.07, 2 Dy 3.20
Tl 0.5122 0.2156 0.1464  3 Dy 3.13-3.28, 3 Ho 3.15-3.29, 1 Tl 3.37
Tl 0.7156 0.0122 0.6464  3 Dy 3.13-3.28, 3 Ho 3.15-3.29, 1 Tl 3.37
Tl 0.7844 0.4878 0.1464  3 Dy 3.13-3.28, 3 Ho 3.15-3.29, 1 Tl 3.37
Tl 0.9878 0.2844 0.6464  3 Dy 3.13-3.28, 3 Ho 3.15-3.29, 1 Tl 3.37


Dy2Ho2Tl7: relaxed, PBE.

Computed properties:
The calculation puts the total energy at -0.119 hartree per atom. Its space group is C2/m. The value obtained for the total magnetic moment is 0.0 μB per formula unit.

a b c (Å): 7.5057 7.5057 5.9284
angles (deg): 97.13 97.13 81.21
Closest atoms and distances in Å follow each position.
Sites, in units of the cell vectors:
Dy 0.1866 0.8134 0.0000  8 Tl 3.20-3.48
Dy 0.8134 0.1866 0.0000  8 Tl 3.20-3.48
Ho 0.2619 0.2619 0.3076  7 Tl 3.15-3.36
Ho 0.7381 0.7381 0.6924  7 Tl 3.15-3.36
Tl 0.0000 0.0000 0.5000  4 Tl 3.30, 2 Ho 3.36, 4 Dy 3.48
Tl 0.0560 0.4068 0.7577  5 Tl 3.19-3.47, 2 Ho 3.20-3.24, 2 Dy 3.20-3.44
Tl 0.4068 0.0560 0.7577  5 Tl 3.19-3.47, 2 Ho 3.20-3.24, 2 Dy 3.20-3.44
Tl 0.4675 0.4675 0.7473  4 Tl 2.97-3.20, 2 Ho 3.15-3.21
Tl 0.5325 0.5325 0.2527  4 Tl 2.97-3.20, 2 Ho 3.15-3.21
Tl 0.5932 0.9440 0.2423  5 Tl 3.19-3.47, 2 Ho 3.20-3.24, 2 Dy 3.20-3.44
Tl 0.9440 0.5932 0.2423  5 Tl 3.19-3.47, 2 Ho 3.20-3.24, 2 Dy 3.20-3.44


Dy2Ho3Tl: relaxed, PBE.

Computed properties:
The calculation puts the total energy at -0.146 hartree per atom. The energy above the lowest structure with this stoichiometry is 358.5 meV per atom. Its space group is Imm2. The value obtained for the total magnetic moment is 0.0 μB per formula unit.

a b c (Å): 6.4076 10.1225 5.7362
angles (deg): 90.00 90.00 90.00
Closest atoms and distances in Å follow each position.
Sites, in units of the cell vectors:
Dy 0.0000 0.1826 0.0000  1 Tl 3.21, 6 Ho 3.21-3.41
Dy 0.0000 0.8174 0.0000  1 Tl 3.21, 6 Ho 3.21-3.41
Dy 0.5000 0.3174 0.5000  1 Tl 3.21, 6 Ho 3.21-3.41
Dy 0.5000 0.6826 0.5000  1 Tl 3.21, 6 Ho 3.21-3.41
Ho 0.0000 0.0000 0.5004  2 Tl 3.20, 4 Dy 3.41, 2 Ho 3.48
Ho 0.0000 0.3438 0.4995  2 Ho 3.16-3.48, 4 Dy 3.21-3.30, 2 Tl 3.27-3.28
Ho 0.0000 0.6562 0.4995  2 Ho 3.16-3.48, 4 Dy 3.21-3.30, 2 Tl 3.27-3.28
Ho 0.5000 0.1562 0.9995  2 Ho 3.16-3.48, 4 Dy 3.21-3.30, 2 Tl 3.27-3.28
Ho 0.5000 0.5000 0.0004  2 Tl 3.20, 4 Dy 3.41, 2 Ho 3.48
Ho 0.5000 0.8438 0.9995  2 Ho 3.16-3.48, 4 Dy 3.21-3.30, 2 Tl 3.27-3.28
Tl 0.0000 0.5000 0.9992  6 Ho 3.20-3.28, 2 Dy 3.21
Tl 0.5000 0.0000 0.4992  6 Ho 3.20-3.28, 2 Dy 3.21


DyHo3Tl3: relaxed, PBE.

Computed properties:
The calculation puts the total energy at -0.142 hartree per atom. The energy above the lowest structure with this stoichiometry is 0.0 meV per atom. Its space group is P2_13. The value obtained for the total magnetic moment is 0.0 μB per formula unit.

a b c (Å): 9.3049 9.3049 9.3049
angles (deg): 90.00 90.00 90.00
Closest atoms and distances in Å follow each position.
Sites, in units of the cell vectors:
Dy 0.0730 0.4270 0.5730  6 Tl 3.13-3.33
Dy 0.4270 0.5730 0.0730  6 Tl 3.13-3.33
Dy 0.5730 0.0730 0.4270  6 Tl 3.13-3.33
Dy 0.9270 0.9270 0.9270  6 Tl 3.13-3.33
Ho 0.0744 0.5744 0.9256  6 Tl 3.12-3.33
Ho 0.1769 0.1769 0.1769  6 Tl 3.12-3.32
Ho 0.1768 0.8232 0.3232  6 Tl 3.12-3.32
Ho 0.3232 0.1768 0.8232  6 Tl 3.12-3.32
Ho 0.3231 0.8231 0.6769  6 Tl 3.12-3.32
Ho 0.4256 0.4256 0.4256  6 Tl 3.12-3.33
Ho 0.5744 0.9256 0.0744  6 Tl 3.12-3.33
Ho 0.6769 0.3231 0.8231  6 Tl 3.12-3.32
Ho 0.6768 0.6768 0.6768  6 Tl 3.12-3.32
Ho 0.8232 0.3232 0.1768  6 Tl 3.12-3.32
Ho 0.8231 0.6769 0.3231  6 Tl 3.12-3.32
Ho 0.9256 0.0744 0.5744  6 Tl 3.12-3.33
Tl 0.0002 0.2511 0.8761  6 Ho 3.12-3.33, 2 Dy 3.13-3.33
Tl 0.9998 0.7511 0.6239  6 Ho 3.12-3.33, 2 Dy 3.13-3.33
Tl 0.1239 0.5002 0.2489  6 Ho 3.12-3.33, 2 Dy 3.13-3.33
Tl 0.2489 0.1239 0.5002  6 Ho 3.12-3.33, 2 Dy 3.13-3.33
Tl 0.2511 0.8761 0.0002  6 Ho 3.12-3.33, 2 Dy 3.13-3.33
Tl 0.3761 0.4998 0.7489  6 Ho 3.12-3.33, 2 Dy 3.13-3.33
Tl 0.5002 0.2489 0.1239  6 Ho 3.12-3.33, 2 Dy 3.13-3.33
Tl 0.4998 0.7489 0.3761  6 Ho 3.12-3.33, 2 Dy 3.13-3.33
Tl 0.6239 0.9998 0.7511  6 Ho 3.12-3.33, 2 Dy 3.13-3.33
Tl 0.7489 0.3761 0.4998  6 Ho 3.12-3.33, 2 Dy 3.13-3.33
Tl 0.7511 0.6239 0.9998  6 Ho 3.12-3.33, 2 Dy 3.13-3.33
Tl 0.8761 0.0002 0.2511  6 Ho 3.12-3.33, 2 Dy 3.13-3.33